SrNi2IO | GGA+U | relaxed

## Properties
crystal system	tetragonal
Fermi-level density of states	0.677	states/eV/atom
raw total energy	-2.1740	eV/atom

Lattice parameters (Å, degrees): 5.667 5.667 4.318 90.00 90.00 90.00
Atoms (fractional coordinates):
Sr  0.000  0.000  0.000
Ni  0.000  0.500  0.000
Ni  0.500  0.000  0.000
I  0.500  0.500  0.500
O  0.000  0.000  0.500